Record 1
## Al2V2Zn (PBE-GGA)

Data for a relaxed Al2V2Zn crystal.

a = 6.6158 Å, b = 6.6158 Å, c = 3.5582 Å
α = 90.00°, β = 90.00°, γ = 90.00°
Closest atoms and distances in Å follow each position.
Element x y z (fractional)
V  0.1208  0.3792  0.0000  1 V 2.26
V  0.8792  0.6208  0.0000  1 V 2.26
V  0.6208  0.1208  0.0000  1 V 2.26
V  0.3792  0.8792  0.0000  1 V 2.26
Al  0.3259  0.1741  0.5000  6 V 2.62-2.66
Al  0.1741  0.6741  0.5000  6 V 2.62-2.66
Al  0.6741  0.8259  0.5000  6 V 2.62-2.66
Al  0.8259  0.3259  0.5000  6 V 2.62-2.66
Zn  0.0000  0.0000  0.0000  4 V 2.63
Zn  0.5000  0.5000  0.0000  4 V 2.63

Values from the calculation:
- calculated formation energy (eV per atom) = 0.07

---

Record 2
## CaCdBr2 (PBE-GGA)

Data for a relaxed CaCdBr2 crystal.

a = 5.1308 Å, b = 5.1308 Å, c = 4.3106 Å
α = 89.85°, β = 89.85°, γ = 90.00°
Closest atoms and distances in Å follow each position.
Element x y z (fractional)
Br  0.0000  0.0000  0.0000  4 Ca 3.35-3.36, 4 Cd 3.35-3.36, 4 Br 3.63
Br  0.5000  0.5000  0.0000  4 Cd 3.35-3.36, 4 Ca 3.35-3.36, 4 Br 3.63
Ca  0.5000  0.0000  0.5000  8 Br 3.35-3.36, 4 Cd 3.63
Cd  0.0000  0.5000  0.5000  8 Br 3.35-3.36, 4 Ca 3.63

Values from the calculation:
- formation energy (no corrections) (meV per atom) = -977.8

---

It is found that the volume values, taken in the order of the records, are 155.74 113.48 Å³ per cell.
It is found that the offset from the most stable computed form values, taken in the order of the records, are 0.0000 0.3974 eV/atom.